[1]
Material: Ti3CdN
Method: DFT, PBE
State: optimized geometry

## Properties
E_form (uncorrected): -0.751 eV/atom
M_tot: 0.000 μB/atom
DOS(E_F): 3.112 states/eV/f.u.

Unit cell a=3.0064 b=3.0064 c=9.8030 alpha=98.62 beta=98.62 gamma=60.13
Fractional coordinates of all 5 atoms:
1 Ti 0.0000 0.0000 0.0000
2 Ti 0.5847 0.5847 0.7593
3 Ti 0.8390 0.8390 0.5176
4 Cd 0.4214 0.4214 0.2617
5 N 0.2107 0.2107 0.6342


[2]
Material: TmBeB4
Method: DFT, PBE
State: optimized geometry

## Properties
M_tot: 0.000 μB/atom
DOS(E_F): 0.499 states/eV/f.u.
ΔH_f (0 K): -11.090 kcal/mol of atoms

Unit cell a=5.8447 b=11.3209 c=3.3255 alpha=90.00 beta=90.00 gamma=90.00
Fractional coordinates of all 24 atoms:
1 Tm 0.1252 0.1510 0.0000
2 Tm 0.3748 0.6510 0.0000
3 Tm 0.6252 0.3490 0.0000
4 Tm 0.8748 0.8490 0.0000
5 Be 0.1318 0.4129 0.0000
6 Be 0.3682 0.9129 0.0000
7 Be 0.6318 0.0871 0.0000
8 Be 0.8682 0.5871 0.0000
9 B 0.0260 0.6918 0.5000
10 B 0.1118 0.5462 0.5000
11 B 0.1364 0.9683 0.5000
12 B 0.2154 0.8142 0.5000
13 B 0.2846 0.3142 0.5000
14 B 0.3636 0.4683 0.5000
15 B 0.3882 0.0462 0.5000
16 B 0.4740 0.1918 0.5000
17 B 0.5260 0.8082 0.5000
18 B 0.6118 0.9538 0.5000
19 B 0.6364 0.5317 0.5000
20 B 0.7154 0.6858 0.5000
21 B 0.7846 0.1858 0.5000
22 B 0.8636 0.0317 0.5000
23 B 0.8882 0.4538 0.5000
24 B 0.9740 0.3082 0.5000


[3]
Material: Co4Hg
Method: DFT, PBE
State: optimized geometry

## Properties
ΔE to the lowest computed polymorph: 1746.2 meV per atom
M_tot: 1.474 μB/atom
DOS(E_F): 11.611 states/eV/f.u.
ΔH_f (0 K): 47.267 kcal/mol of atoms

Unit cell a=4.6970 b=4.6970 c=4.6970 alpha=90.00 beta=90.00 gamma=90.00
Fractional coordinates of all 5 atoms:
1 Co 0.0000 0.0000 0.0000
2 Co 0.0000 0.5000 0.5000
3 Co 0.5000 0.0000 0.5000
4 Co 0.5000 0.5000 0.0000
5 Hg 0.5000 0.5000 0.5000


[4]
Material: HfGeBiIr2N
Method: DFT, PBE
State: optimized geometry

## Properties
E_form (uncorrected): -0.325 eV/atom
ΔE to the lowest computed polymorph: 169.3 meV per atom
M_tot: 0.000 μB/atom
DOS(E_F): 2.410 states/eV/f.u.

Unit cell a=4.5881 b=4.5881 c=7.2645 alpha=99.75 beta=99.75 gamma=49.31
Fractional coordinates of all 6 atoms:
1 Hf 0.0000 0.0000 0.0000
2 Ge 0.6495 0.6495 0.6501
3 Bi 0.2986 0.2986 0.3359
4 Ir 0.2539 0.2539 0.8469
5 Ir 0.9483 0.9483 0.5915
6 N 0.4432 0.4432 0.0854


[5]
Material: EuDyErTl
Method: DFT, PBE
State: optimized geometry

## Properties
M_tot: 1.895 μB/atom
DOS(E_F): 5.864 states/eV/f.u.
ΔH_f (0 K): -0.226 kcal/mol of atoms

Unit cell a=5.5057 b=5.5057 c=5.5057 alpha=60.00 beta=60.00 gamma=60.00
Fractional coordinates of all 4 atoms:
1 Eu 0.0000 0.0000 0.0000
2 Dy 0.7500 0.7500 0.7500
3 Er 0.2500 0.2500 0.2500
4 Tl 0.5000 0.5000 0.5000


[6]
Material: HoThCrTc
Method: DFT, PBE
State: optimized geometry

## Properties
M_tot: 0.829 μB/atom
DOS(E_F): 3.194 states/eV/f.u.
ΔH_f (0 K): 3.104 kcal/mol of atoms

Unit cell a=4.9892 b=4.9892 c=4.9892 alpha=60.00 beta=60.00 gamma=60.00
Fractional coordinates of all 4 atoms:
1 Ho 0.0000 0.0000 0.0000
2 Th 0.5000 0.5000 0.5000
3 Cr 0.2500 0.2500 0.2500
4 Tc 0.7500 0.7500 0.7500


[7]
Material: BaMo4Se7
Method: DFT, PBE
State: optimized geometry

## Properties
E_form (uncorrected): -0.535 eV/atom
M_tot: 0.062 μB/atom
DOS(E_F): 6.343 states/eV/f.u.

Unit cell a=19.3270 b=5.3745 c=5.1204 alpha=90.00 beta=90.00 gamma=90.00
Fractional coordinates of all 24 atoms:
1 Ba 0.0000 0.2401 0.0000
2 Ba 0.5000 0.7599 0.5000
3 Mo 0.1349 0.6510 0.5645
4 Mo 0.2460 0.6669 0.9324
5 Mo 0.2540 0.3331 0.4324
6 Mo 0.3651 0.3490 0.0645
7 Mo 0.6349 0.3490 0.0645
8 Mo 0.7460 0.3331 0.4324
9 Mo 0.7540 0.6669 0.9324
10 Mo 0.8651 0.6510 0.5645
11 Se 0.0000 0.7213 0.5059
12 Se 0.1195 0.7379 0.0366
13 Se 0.1268 0.2006 0.4780
14 Se 0.2463 0.2042 0.9489
15 Se 0.2537 0.7958 0.4489
16 Se 0.3732 0.7994 0.9780
17 Se 0.3805 0.2621 0.5366
18 Se 0.5000 0.2787 0.0059
19 Se 0.6195 0.2621 0.5366
20 Se 0.6268 0.7994 0.9780
21 Se 0.7463 0.7958 0.4489
22 Se 0.7537 0.2042 0.9489
23 Se 0.8732 0.2006 0.4780
24 Se 0.8805 0.7379 0.0366


[8]
Material: Ca3Pb3Au2
Method: DFT, PBE
State: optimized geometry

## Properties
M_tot: 0.000 μB/atom
DOS(E_F): 4.662 states/eV/f.u.
ΔH_f (0 K): -13.318 kcal/mol of atoms

Unit cell a=8.2379 b=8.2379 c=3.6825 alpha=90.00 beta=90.00 gamma=120.00
Fractional coordinates of all 8 atoms:
1 Ca 0.0000 0.4121 0.0000
2 Ca 0.4121 0.0000 0.0000
3 Ca 0.5879 0.5879 0.0000
4 Pb 0.0000 0.7654 0.5000
5 Pb 0.2346 0.2346 0.5000
6 Pb 0.7654 0.0000 0.5000
7 Au 0.3333 0.6667 0.5000
8 Au 0.6667 0.3333 0.5000


What is the M_tot in the second record? 0.000 μB/atom


What is the formula in the third record? Co4Hg


Number 3 is which compound? Co4Hg


Which value of M_tot does entry 6 give? 0.829 μB/atom